The following is a PBE-GGA calculation of a geometry-optimized TiCrGaNi structure, from Alexandria via LeMat-Bulk.

Summary:
**Symmetry**: F-43m
**Crystal system**: cubic
**Final energy**: -27.0 eV/cell
**Fermi-level density of states**: 1.677 states/eV per atom
**Formation energy from the elements**: -0.64 eV/f.u.

Structure (POSCAR):
```
TiCrGaNi
1.0
-2.264 -3.446 -0.884
0.980 -3.686 1.799
-2.542 -1.660 2.926
Ni Ti Ga Cr
1 1 1 1
Direct
0.500 0.500 0.500 Ni
0.250 0.250 0.250 Ti
0.750 0.750 0.750 Ga
0.000 0.000 0.000 Cr
```